Here is a relaxed MnBe2 crystal from Alexandria. Energies are from PBE.

Cell lengths 2.5511, 2.5511, 8.3789 Å; angles 90.00, 90.00, 90.00 degrees
Space group I4/mmm (No. 139)
Symmetry-distinct sites (fractional):
1 Mn 0.0000 0.0000 0.0000 (multiplicity 2)
2 Be 0.0000 0.0000 0.3212 (multiplicity 4)

Output
total magnetization: 3.9 Bohr magnetons per cell
energy relative to the elements: -20.6 kJ/mol of formula units